Below is a relaxed RbInP2S crystal, with properties calculated at the PBEsol level.

Summary:
ΔE_f (raw): 0.411 eV/atom
Magnetization: 1.57 μB/cell
DOS(E_F): 0.84 states/eV/atom

a = 5.096 Å, b = 5.096 Å, c = 5.243 Å
α = 90.00°, β = 90.00°, γ = 90.00°
Site moments in Bohr magnetons follow the coordinates.
Element x y z (fractional)
In  0.000  0.000  0.000  0.00
S  0.000  0.000  0.500  0.17
Rb  0.500  0.500  0.500  0.01
P  0.000  0.500  0.000  0.29
P  0.500  0.000  0.000  0.29